# 1
SCAN Mn3Zn2O8, single point on PBEsol structure; total magnetic moment = 8.994 μB per cell; symmetry = C2/m (12); formation energy (no corrections) = -1995 meV/atom; E = -0.8909 Ry/atom
1.0
4.849 -2.832 0.000
4.849 2.832 0.000
-1.008 0.000 4.791
Mn Zn O
3 2 8
direct
0.000 0.000 0.000
0.255 0.745 0.500
0.745 0.255 0.500
0.292 0.292 0.900
0.708 0.708 0.100
0.101 0.101 0.370
0.112 0.658 0.134
0.342 0.888 0.866
0.394 0.394 0.598
0.606 0.606 0.402
0.658 0.112 0.134
0.888 0.342 0.866
0.899 0.899 0.630

# 2
SCAN Mn3ZnO, single point on PBEsol structure; total magnetic moment = 9.013 μB per cell; symmetry = Pm-3m (221); formation energy (no corrections) = -460 meV/atom; E = -1.1291 Ry/atom
1.0
3.746 0.000 0.000
0.000 3.746 0.000
0.000 0.000 3.746
Mn Zn O
3 1 1
direct
0.000 0.000 0.500
0.000 0.500 0.000
0.500 0.000 0.000
0.500 0.500 0.500
0.000 0.000 0.000

# 3
SCAN Mn9Zn3O16, single point on PBEsol structure; total magnetic moment = 26.953 μB per cell; symmetry = P-4m2 (115); formation energy (no corrections) = -2072 meV/atom; E = -0.9517 Ry/atom
1.0
5.688 0.000 0.000
0.000 5.688 0.000
0.000 0.000 9.288
Mn Zn O
9 3 16
direct
0.000 0.000 0.000
0.000 0.250 0.375
0.000 0.750 0.375
0.249 0.500 0.126
0.250 0.000 0.625
0.500 0.249 0.874
0.500 0.751 0.874
0.750 0.000 0.625
0.751 0.500 0.126
0.000 0.500 0.751
0.500 0.000 0.249
0.500 0.500 0.500
0.000 0.226 0.620
0.000 0.272 0.130
0.000 0.728 0.130
0.000 0.774 0.620
0.226 0.000 0.380
0.227 0.500 0.370
0.272 0.000 0.870
0.274 0.500 0.880
0.500 0.227 0.630
0.500 0.274 0.120
0.500 0.726 0.120
0.500 0.773 0.630
0.726 0.500 0.880
0.728 0.000 0.870
0.773 0.500 0.370
0.774 0.000 0.380

# 4
SCAN MnZn4O5, single point on PBEsol structure; total magnetic moment = 9.932 μB per cell; symmetry = P3m1 (156); relative energy among the computed polymorphs = 5 meV per atom; formation energy (no corrections) = -1667 meV/atom; E = -0.8830 Ry/atom
1.0
3.258 0.000 0.000
-1.629 2.822 0.000
0.000 0.000 26.326
Mn Zn O
2 8 10
direct
0.000 0.000 0.000
0.000 0.000 0.205
0.000 0.000 0.406
0.000 0.000 0.602
0.000 0.000 0.800
0.333 0.667 0.103
0.333 0.667 0.307
0.333 0.667 0.504
0.333 0.667 0.701
0.333 0.667 0.899
0.000 0.000 0.128
0.000 0.000 0.330
0.000 0.000 0.527
0.000 0.000 0.725
0.000 0.000 0.924
0.333 0.667 0.028
0.333 0.667 0.231
0.333 0.667 0.428
0.333 0.667 0.626
0.333 0.667 0.824

Question: Look up the total magnetic moment of the first one.
Answer: 8.994 μB per cell